Compound: NaFe3H6S2O14
Source: the Alexandria database
Functional: GGA+U
Structure: relaxed

Properties
relative energy among the computed polymorphs = 0.0 meV/atom
crystal system = trigonal
spin magnetization = 45.00 μB/cell
E = -0.4289 Ry per atom
D(E_F) = 0.000 states/eV/atom

Cell lengths 7.4164, 7.4164, 16.8230 Å; angles 90.00, 90.00, 120.00 degrees
Space group R-3m (No. 166, hexagonal axes)
Asymmetric unit:
Na: 0.0000 0.0000 0.0000 [3 per cell]
Fe: 0.0000 0.5000 0.5000 [9 per cell]
H: 0.0601 0.5301 0.2240 [18 per cell]
S: 0.0000 0.0000 0.3112 [6 per cell]
O: 0.0000 0.0000 0.3990 [6 per cell]
O: 0.0818 0.5409 0.7984 [18 per cell]
O: 0.1098 0.2197 0.7181 [18 per cell]

---

Compound: Na2FeH4S2O10
Source: the Alexandria database
Functional: GGA+U
Structure: relaxed

Properties
crystal system = monoclinic
spin magnetization = 8.00 μB/cell
E = -0.4162 Ry per atom
D(E_F) = 0.000 states/eV/atom

Cell lengths 5.823, 13.124, 5.538 Å; angles 90.00, 106.06, 90.00 degrees
Space group P2_1/c (No. 14)
Asymmetric unit:
Na: 0.083 0.117 0.260 [4 per cell]
Fe: 0.500 0.000 0.000 [2 per cell]
H: 0.178 0.153 0.816 [4 per cell]
H: 0.409 0.203 0.000 [4 per cell]
S: 0.276 0.618 0.926 [4 per cell]
O: 0.070 0.689 0.900 [4 per cell]
O: 0.238 0.559 0.684 [4 per cell]
O: 0.269 0.543 0.131 [4 per cell]
O: 0.312 0.140 0.971 [4 per cell]
O: 0.495 0.172 0.513 [4 per cell]